Compound: SrAlPb2
Source: the Alexandria database
Functional: GGA-PBE
Structure: optimized geometry

Summary:
calculated total energy = -3.31 eV per atom
formation energy = -0.096 eV per atom

Cell: 5.2779 3.6316 6.2978 Å, 86.66 90.00 90.00°
Closest atoms and distances in Å follow each position.
Fractional coordinates of all 4 atoms:
1 Pb 0.0000 0.8726 0.9870  2 Al 3.08, 2 Pb 3.16-3.38, 2 Sr 3.44
2 Pb 0.0000 0.6274 0.5130  2 Al 3.08, 2 Pb 3.16-3.38, 2 Sr 3.44
3 Sr 0.5000 0.2500 0.2500  8 Pb 3.44-3.79, 4 Al 3.54-3.73, 2 Sr 3.63
4 Al 0.5000 0.7500 0.7500  4 Pb 3.08



Compound: SrAlPb2
Source: the Alexandria database
Functional: GGA-PBE
Structure: optimized geometry

Summary:
calculated total energy = -3.39 eV per atom
formation energy = -0.181 eV per atom

Cell: 4.7644 4.8005 5.3348 Å, 90.02 90.00 90.00°
Closest atoms and distances in Å follow each position.
Fractional coordinates of all 4 atoms:
1 Pb 0.0000 0.8751 0.0946  2 Al 3.09, 4 Pb 3.38
2 Pb 0.5000 0.3752 0.0933  2 Al 3.10, 4 Pb 3.38
3 Sr 0.0000 0.3749 0.5862  4 Al 3.46, 8 Pb 3.55-3.62
4 Al 0.5000 0.8748 0.7259  4 Pb 3.09-3.10